(1)
{"formula": "CsK3", "functional": "PBE", "state": "optimized geometry", "n_ef_per_ev_atom": 0.8399, "e_form_ev_per_atom": 0.01, "crystal_system": "orthorhombic", "dft_energy_ha_per_atom": -0.03766, "cell": [[4.946, 0.000, 0.000], [0.000, 8.300, 0.000], [-2.473, -4.150, 7.950]], "species": ["Cs", "K", "K", "K"], "fractional_positions": [[0.000, 0.975, 0.000], [0.238, 0.592, 0.477], [0.500, 0.484, 0.000], [0.762, 0.115, 0.523]]}



(2)
{"formula": "NiHg2P", "functional": "PBE", "state": "optimized geometry", "n_ef_per_ev_atom": 0.4245, "e_form_ev_per_atom": 0.11, "crystal_system": "monoclinic", "dft_energy_ha_per_atom": -0.10429, "cell": [[3.256, 0.000, 0.000], [0.000, 5.575, -0.012], [0.000, 2.202, 4.517]], "species": ["Ni", "Hg", "Hg", "P"], "fractional_positions": [[0.000, 0.069, 0.465], [0.000, 0.968, 0.014], [0.500, 0.614, 0.693], [0.500, 0.348, 0.328]]}



(3)
{"formula": "Mg2ScTc", "functional": "PBE", "state": "optimized geometry", "de_polymorph_mev_per_atom": 39, "n_ef_per_ev_atom": 0.6329, "e_form_ev_per_atom": 0.06, "crystal_system": "orthorhombic", "dft_energy_ha_per_atom": -0.18065, "cell": [[-1.921, 1.926, 1.188], [-1.341, -2.622, -0.369], [2.737, -2.622, 8.680]], "species": ["Mg", "Mg", "Sc", "Tc"], "fractional_positions": [[0.000, 0.000, 0.970], [0.500, 0.500, 0.248], [0.000, 0.000, 0.536], [0.500, 0.500, 0.745]]}